Entry from Alexandria via LeMat-Bulk: a relaxed Nd2MgCo crystal (PBE-GGA).

Structure (extended XYZ):
```
4
Lattice="-0.716 3.790 -3.487 0.192 -1.075 -5.084 -4.348 0.123 -2.849" Properties=species:S:1:pos:R:3 pbc="T T T"
Co 0.000 0.000 0.000
Mg -2.436 1.419 -5.710
Nd -1.218 0.710 -2.855
Nd -3.654 2.129 -8.565
```

Output
DOS at the Fermi energy = 2.5 states/eV/f.u.
Energy above the lowest structure with this stoichiometry = 0.1659 eV per atom
M_tot = 0.131 μB per atom
Calculated volume = 24.8 Å³/atom
DFT total energy = -4.48 eV/atom
Formation energy from the elements = 0.0812 eV per atom

=====

Entry from Alexandria via LeMat-Bulk: a relaxed Dy3Al crystal (PBE-GGA).

Structure (extended XYZ):
```
4
Lattice="-2.509 -0.253 -3.951 2.302 -3.899 -1.213 -3.249 -0.620 4.883" Properties=species:S:1:pos:R:3 pbc="T T T"
Al 0.000 0.000 0.000
Dy -2.931 -1.474 -0.825
Dy -0.525 -3.297 0.545
Dy -0.103 -2.076 -2.582
```

Output
DOS at the Fermi energy = 5.1 states/eV/f.u.
M_tot = 0.000 μB per atom
Calculated volume = 26.8 Å³/atom
DFT total energy = -4.54 eV/atom
Formation energy from the elements = -0.1514 eV per atom

=====

Entry from Alexandria via LeMat-Bulk: a relaxed TiOsRuS crystal (PBE-GGA).

Structure (extended XYZ):
```
4
Lattice="2.913 0.003 0.005 -0.003 2.931 -0.001 -0.010 -1.220 6.892" Properties=species:S:1:pos:R:3 pbc="T T T"
Ru 1.519 1.095 4.874
S 0.066 1.033 2.886
Os 0.061 -0.388 6.473
Ti 1.523 2.502 1.650
```

Output
DOS at the Fermi energy = 1.9 states/eV/f.u.
Energy above the lowest structure with this stoichiometry = 0.0000 eV per atom
M_tot = 0.000 μB per atom
E_form (uncorrected) = -1.35 eV/f.u.
Calculated volume = 14.7 Å³/atom
DFT total energy = -8.47 eV/atom

=====

Entry from Alexandria via LeMat-Bulk: a relaxed PmEr2Pt2 crystal (PBE-GGA).

Structure (extended XYZ):
```
10
Lattice="4.622 0.000 0.000 0.000 5.393 -0.765 0.000 0.123 10.394" Properties=species:S:1:pos:R:3 pbc="T T T"
Pm 1.156 2.334 1.939
Pm 3.467 3.181 7.689
Er 1.156 0.771 9.118
Er 3.467 1.284 4.708
Er 1.156 4.231 4.921
Er 3.467 4.745 0.511
Pt 3.467 3.826 3.282
Pt 3.467 1.843 0.027
Pt 1.156 1.690 6.347
Pt 1.156 3.673 9.601
```

Output
DOS at the Fermi energy = 3.7 states/eV/f.u.
M_tot = 0.000 μB per atom
Calculated volume = 26.0 Å³/atom
DFT total energy = -6.23 eV/atom
Formation energy from the elements = -1.0377 eV per atom

=====

Entry from Alexandria via LeMat-Bulk: a relaxed La2InHRh crystal (PBE-GGA).

Structure (extended XYZ):
```
5
Lattice="-0.588 4.954 -1.956 -0.058 -1.974 -4.982 -3.819 -0.377 0.194" Properties=species:S:1:pos:R:3 pbc="T T T"
H 0.000 0.000 0.000
In -2.232 1.302 -3.372
Rh -1.910 -0.188 0.097
La -0.029 -0.987 -2.491
La -0.294 2.477 -0.978
```

Output
DOS at the Fermi energy = 3.5 states/eV/f.u.
M_tot = 0.000 μB per atom
Calculated volume = 22.1 Å³/atom
DFT total energy = -5.17 eV/atom

=====

Entry from Alexandria via LeMat-Bulk: a relaxed CaAc2Br8 crystal (PBE-GGA).

Structure (extended XYZ):
```
11
Lattice="5.053 0.000 0.000 -2.526 8.347 -1.720 0.000 0.007 10.333" Properties=species:S:1:pos:R:3 pbc="T T T"
Ca 2.526 0.000 0.000
Ac 2.526 3.977 6.577
Ac 0.000 4.376 2.036
Br 0.000 7.150 0.920
Br 2.526 3.959 0.399
Br 2.526 5.491 3.792
Br 2.526 6.957 7.498
Br 0.000 2.863 4.821
Br 0.000 4.394 8.214
Br 2.526 1.204 7.692
Br 0.000 1.397 1.114
```

Output
DOS at the Fermi energy = 0.0 states/eV/f.u.
M_tot = 0.000 μB per atom
E_form (uncorrected) = -21.66 eV/f.u.
Calculated volume = 39.6 Å³/atom
DFT total energy = -4.11 eV/atom

=====

Entry from Alexandria via LeMat-Bulk: a relaxed ZnIn4Cu crystal (PBE-GGA).

Structure (extended XYZ):
```
6
Lattice="0.000 4.284 4.284 4.284 0.000 4.284 4.284 4.284 0.000" Properties=species:S:1:pos:R:3 pbc="T T T"
Zn 6.426 6.426 6.426
In 3.211 5.357 5.357
In 5.357 5.357 3.211
In 5.357 3.211 5.357
In 3.211 3.211 3.211
Cu 0.000 0.000 0.000
```

Output
DOS at the Fermi energy = 3.1 states/eV/f.u.
M_tot = 0.000 μB per atom
Calculated volume = 26.2 Å³/atom
DFT total energy = -2.25 eV/atom
Formation energy from the elements = 0.4661 eV per atom

=====

Entry from Alexandria via LeMat-Bulk: a relaxed CsAlI crystal (PBE-GGA).

Structure (extended XYZ):
```
6
Lattice="-1.938 2.963 -3.304 0.189 -6.064 -2.046 -8.768 -1.618 6.947" Properties=species:S:1:pos:R:3 pbc="T T T"
Cs -5.941 -4.317 -0.151
Cs -8.795 -4.000 5.396
I -7.838 -0.359 4.553
I -4.105 -2.264 -3.055
Al -3.217 -1.759 1.343
Al -3.478 -0.458 -0.887
```

Output
DOS at the Fermi energy = 0.5 states/eV/f.u.
Energy above the lowest structure with this stoichiometry = 0.0722 eV per atom
M_tot = 0.000 μB per atom
E_form (uncorrected) = -1.59 eV/f.u.
Calculated volume = 52.3 Å³/atom
DFT total energy = -2.58 eV/atom

=====

> Which formula does entry 4 have?

PmEr2Pt2

=====

> What is the DOS at the Fermi energy in the first record?

2.5 states/eV/f.u.